(1)
# CrTe4As (PBE, relaxed)
data_CrTe4As
_space_group_name_H-M_alt 'P 1'
_space_group_IT_number 1
_cell_length_a 6.254
_cell_length_b 6.254
_cell_length_c 6.254
_cell_angle_alpha 60.00
_cell_angle_beta 60.00
_cell_angle_gamma 60.00
loop_
_space_group_symop_operation_xyz
'x,y,z'
loop_
_atom_site_label
_atom_site_fract_x
_atom_site_fract_y
_atom_site_fract_z
Cr1 0.000 0.000 0.000
Te1 0.874 0.375 0.375
Te2 0.375 0.375 0.874
Te3 0.375 0.874 0.375
Te4 0.375 0.375 0.375
As1 0.750 0.750 0.750
# Calculated volume: 28.83 Å³ per atom
# Offset from the most stable computed form: 0.930 eV/atom
# ΔE_f (raw): 0.860 eV per atom
# Crystal system: cubic

***

(2)
# K3Ce3NpTe8 (PBE, relaxed)
data_K3Ce3NpTe8
_space_group_name_H-M_alt 'P 1'
_space_group_IT_number 1
_cell_length_a 9.170
_cell_length_b 9.169
_cell_length_c 9.858
_cell_angle_alpha 117.71
_cell_angle_beta 89.99
_cell_angle_gamma 120.00
loop_
_space_group_symop_operation_xyz
'x,y,z'
loop_
_atom_site_label
_atom_site_fract_x
_atom_site_fract_y
_atom_site_fract_z
K1 0.000 0.000 0.000
K2 0.000 0.500 0.000
K3 0.500 0.500 0.000
Ce1 0.500 0.000 0.500
Ce2 0.500 0.500 0.500
Ce3 0.000 0.500 0.500
Np1 0.000 0.000 0.500
Te1 0.262 0.524 0.287
Te2 0.738 0.476 0.713
Te3 0.766 0.532 0.293
Te4 0.234 0.468 0.707
Te5 0.766 0.027 0.293
Te6 0.234 0.973 0.707
Te7 0.261 0.027 0.293
Te8 0.739 0.973 0.707
# Calculated volume: 40.38 Å³ per atom
# ΔE_f (raw): -1.203 eV per atom
# Crystal system: trigonal

***

(3)
# Cr3ReSb (PBE, relaxed)
data_Cr3ReSb
_space_group_name_H-M_alt 'P 1'
_space_group_IT_number 1
_cell_length_a 4.523
_cell_length_b 4.523
_cell_length_c 4.523
_cell_angle_alpha 90.00
_cell_angle_beta 90.00
_cell_angle_gamma 90.00
loop_
_space_group_symop_operation_xyz
'x,y,z'
loop_
_atom_site_label
_atom_site_fract_x
_atom_site_fract_y
_atom_site_fract_z
Re1 0.500 0.500 0.500
Cr1 0.000 0.500 0.000
Cr2 0.000 0.000 0.500
Cr3 0.500 0.000 0.000
Sb1 0.000 0.000 0.000
# Calculated volume: 18.51 Å³ per atom
# Offset from the most stable computed form: 1.187 eV/atom
# ΔE_f (raw): 2.370 eV per atom
# Crystal system: cubic

***

(4)
# BeSbOs3 (PBE, relaxed)
data_BeSbOs3
_space_group_name_H-M_alt 'P 1'
_space_group_IT_number 1
_cell_length_a 4.796
_cell_length_b 4.796
_cell_length_c 4.796
_cell_angle_alpha 90.00
_cell_angle_beta 90.00
_cell_angle_gamma 90.00
loop_
_space_group_symop_operation_xyz
'x,y,z'
loop_
_atom_site_label
_atom_site_fract_x
_atom_site_fract_y
_atom_site_fract_z
Sb1 0.000 0.000 0.000
Os1 0.000 0.500 0.000
Os2 0.000 0.000 0.500
Os3 0.500 0.000 0.000
Be1 0.500 0.500 0.500
# Calculated volume: 22.07 Å³ per atom
# Offset from the most stable computed form: 1.966 eV/atom
# ΔE_f (raw): 2.745 eV per atom
# Crystal system: cubic

***

(5)
# Er2TmAu2 (PBE, relaxed)
data_Er2TmAu2
_space_group_name_H-M_alt 'P 1'
_space_group_IT_number 1
_cell_length_a 3.749
_cell_length_b 8.104
_cell_length_c 8.104
_cell_angle_alpha 90.00
_cell_angle_beta 90.00
_cell_angle_gamma 90.00
loop_
_space_group_symop_operation_xyz
'x,y,z'
loop_
_atom_site_label
_atom_site_fract_x
_atom_site_fract_y
_atom_site_fract_z
Er1 0.500 0.162 0.662
Er2 0.500 0.662 0.838
Er3 0.500 0.838 0.338
Er4 0.500 0.338 0.162
Tm1 0.000 0.000 0.000
Tm2 0.000 0.500 0.500
Au1 0.000 0.365 0.865
Au2 0.000 0.865 0.635
Au3 0.000 0.635 0.135
Au4 0.000 0.135 0.365
# Calculated volume: 24.62 Å³ per atom
# Energy relative to the elements: -3.59 eV/f.u.
# Crystal system: tetragonal

***

(6)
# SmSnRh (PBE, relaxed)
data_SmSnRh
_space_group_name_H-M_alt 'P 1'
_space_group_IT_number 1
_cell_length_a 3.729
_cell_length_b 4.628
_cell_length_c 4.628
_cell_angle_alpha 120.00
_cell_angle_beta 90.00
_cell_angle_gamma 90.00
loop_
_space_group_symop_operation_xyz
'x,y,z'
loop_
_atom_site_label
_atom_site_fract_x
_atom_site_fract_y
_atom_site_fract_z
Rh1 0.167 0.000 0.000
Sn1 0.167 0.333 0.667
Sm1 0.667 0.667 0.333
# Calculated volume: 23.05 Å³ per atom
# Energy relative to the elements: -2.18 eV/f.u.
# Crystal system: hexagonal

***

(7)
# Ac4PrNd2 (PBE, relaxed)
data_Ac4PrNd2
_space_group_name_H-M_alt 'P 1'
_space_group_IT_number 1
_cell_length_a 6.131
_cell_length_b 10.768
_cell_length_c 7.265
_cell_angle_alpha 131.50
_cell_angle_beta 114.96
_cell_angle_gamma 90.00
loop_
_space_group_symop_operation_xyz
'x,y,z'
loop_
_atom_site_label
_atom_site_fract_x
_atom_site_fract_y
_atom_site_fract_z
Ac1 0.113 0.444 0.226
Ac2 0.887 0.556 0.774
Ac3 0.360 0.022 0.720
Ac4 0.640 0.978 0.280
Pr1 0.000 0.000 0.000
Nd1 0.338 0.330 0.675
Nd2 0.662 0.670 0.325
# Calculated volume: 42.40 Å³ per atom
# Energy relative to the elements: 1.70 eV/f.u.
# Offset from the most stable computed form: 0.000 eV/atom
# Crystal system: monoclinic

***

(8)
# TbNdDy6 (PBE, relaxed)
data_TbNdDy6
_space_group_name_H-M_alt 'P 1'
_space_group_IT_number 1
_cell_length_a 5.036
_cell_length_b 5.036
_cell_length_c 10.068
_cell_angle_alpha 90.00
_cell_angle_beta 90.00
_cell_angle_gamma 90.00
loop_
_space_group_symop_operation_xyz
'x,y,z'
loop_
_atom_site_label
_atom_site_fract_x
_atom_site_fract_y
_atom_site_fract_z
Tb1 0.000 0.000 0.000
Nd1 0.000 0.000 0.500
Dy1 0.500 0.500 0.000
Dy2 0.500 0.500 0.500
Dy3 0.500 0.000 0.248
Dy4 0.500 0.000 0.752
Dy5 0.000 0.500 0.248
Dy6 0.000 0.500 0.752
# Calculated volume: 31.92 Å³ per atom
# Energy relative to the elements: 0.17 eV/f.u.
# Offset from the most stable computed form: 0.000 eV/atom
# Crystal system: tetragonal

***

(9)
# YCd2Pb (PBE, relaxed)
data_YCd2Pb
_space_group_name_H-M_alt 'P 1'
_space_group_IT_number 1
_cell_length_a 10.937
_cell_length_b 10.937
_cell_length_c 10.937
_cell_angle_alpha 18.20
_cell_angle_beta 18.20
_cell_angle_gamma 18.20
loop_
_space_group_symop_operation_xyz
'x,y,z'
loop_
_atom_site_label
_atom_site_fract_x
_atom_site_fract_y
_atom_site_fract_z
Cd1 0.003 0.003 0.003
Cd2 0.497 0.497 0.497
Pb1 0.250 0.250 0.250
Y1 0.750 0.750 0.750
# Calculated volume: 27.87 Å³ per atom
# Energy relative to the elements: -0.19 eV/f.u.
# Crystal system: trigonal

***

(10)
# Ga2Pt13 (PBE, relaxed)
data_Ga2Pt13
_space_group_name_H-M_alt 'P 1'
_space_group_IT_number 1
_cell_length_a 6.480
_cell_length_b 7.171
_cell_length_c 7.066
_cell_angle_alpha 122.01
_cell_angle_beta 64.83
_cell_angle_gamma 117.79
loop_
_space_group_symop_operation_xyz
'x,y,z'
loop_
_atom_site_label
_atom_site_fract_x
_atom_site_fract_y
_atom_site_fract_z
Ga1 0.803 0.816 0.628
Ga2 0.197 0.184 0.372
Pt1 0.999 0.732 0.180
Pt2 0.001 0.268 0.820
Pt3 0.000 0.000 0.000
Pt4 0.251 0.919 0.542
Pt5 0.749 0.081 0.458
Pt6 0.930 0.552 0.727
Pt7 0.070 0.448 0.273
Pt8 0.509 0.586 0.358
Pt9 0.491 0.414 0.642
Pt10 0.374 0.820 0.829
Pt11 0.626 0.180 0.171
Pt12 0.491 0.270 0.917
Pt13 0.509 0.730 0.083
# Calculated volume: 15.95 Å³ per atom
# Energy relative to the elements: -1.86 eV/f.u.
# Crystal system: triclinic

***

(11)
# NbAlGe3 (PBE, relaxed)
data_NbAlGe3
_space_group_name_H-M_alt 'P 1'
_space_group_IT_number 1
_cell_length_a 5.031
_cell_length_b 5.031
_cell_length_c 5.031
_cell_angle_alpha 90.00
_cell_angle_beta 90.00
_cell_angle_gamma 90.00
loop_
_space_group_symop_operation_xyz
'x,y,z'
loop_
_atom_site_label
_atom_site_fract_x
_atom_site_fract_y
_atom_site_fract_z
Nb1 0.000 0.000 0.000
Ge1 0.000 0.500 0.000
Ge2 0.000 0.000 0.500
Ge3 0.500 0.000 0.000
Al1 0.500 0.500 0.500
# Calculated volume: 25.47 Å³ per atom
# Energy relative to the elements: 2.49 eV/f.u.
# Offset from the most stable computed form: 0.000 eV/atom
# Crystal system: cubic

***

(12)
# BaSb3 (PBE, relaxed)
data_BaSb3
_space_group_name_H-M_alt 'P 1'
_space_group_IT_number 1
_cell_length_a 6.306
_cell_length_b 6.306
_cell_length_c 5.948
_cell_angle_alpha 68.15
_cell_angle_beta 68.15
_cell_angle_gamma 39.30
loop_
_space_group_symop_operation_xyz
'x,y,z'
loop_
_atom_site_label
_atom_site_fract_x
_atom_site_fract_y
_atom_site_fract_z
Sb1 0.500 0.500 0.500
Sb2 0.787 0.787 0.639
Sb3 0.213 0.213 0.361
Ba1 0.000 0.000 0.000
# Calculated volume: 34.41 Å³ per atom
# ΔE_f (raw): -0.479 eV per atom
# Crystal system: monoclinic

***

Copy entry 1 word for word.
# CrTe4As (PBE, relaxed)
data_CrTe4As
_space_group_name_H-M_alt 'P 1'
_space_group_IT_number 1
_cell_length_a 6.254
_cell_length_b 6.254
_cell_length_c 6.254
_cell_angle_alpha 60.00
_cell_angle_beta 60.00
_cell_angle_gamma 60.00
loop_
_space_group_symop_operation_xyz
'x,y,z'
loop_
_atom_site_label
_atom_site_fract_x
_atom_site_fract_y
_atom_site_fract_z
Cr1 0.000 0.000 0.000
Te1 0.874 0.375 0.375
Te2 0.375 0.375 0.874
Te3 0.375 0.874 0.375
Te4 0.375 0.375 0.375
As1 0.750 0.750 0.750
# Calculated volume: 28.83 Å³ per atom
# Offset from the most stable computed form: 0.930 eV/atom
# ΔE_f (raw): 0.860 eV per atom
# Crystal system: cubic